Computed, not measured: CsY2TeH at its PBEsol-relaxed geometry at the meta-GGA SCAN level of DFT.

```
CsY2TeH
1.0
4.947 0.000 0.000
0.000 4.947 0.000
0.000 0.000 5.069
Cs Y Te H
1 2 1 1
direct
0.000 0.000 0.000
0.000 0.500 0.500
0.500 0.000 0.500
0.500 0.500 0.000
0.000 0.000 0.500
```

Values from the calculation:
Final energy = -26.99 eV per atom
Symmetry = P4/mmm

***

Computed, not measured: Cs2TiZnH at its PBEsol-relaxed geometry at the meta-GGA SCAN level of DFT.

```
Cs2TiZnH
1.0
6.387 0.000 0.000
0.000 6.387 0.000
0.000 0.000 3.845
Cs Ti Zn H
2 1 1 1
direct
0.000 0.500 0.000
0.500 0.000 0.000
0.000 0.000 0.500
0.500 0.500 0.500
0.000 0.000 0.000
```

Values from the calculation:
Final energy = -21.16 eV per atom
Symmetry = P4/mmm

***

Computed, not measured: CsTlH at its PBEsol-relaxed geometry at the meta-GGA SCAN level of DFT.

```
CsTlH
1.0
2.659 1.535 7.517
-2.659 1.535 7.517
0.000 -3.071 7.517
Cs Tl H
2 2 2
direct
0.102 0.102 0.102
0.898 0.898 0.898
0.327 0.327 0.327
0.673 0.673 0.673
0.238 0.238 0.238
0.762 0.762 0.762
```

Values from the calculation:
Final energy = -38.09 eV per atom
Symmetry = R-3m

***

| no. | calculated density (g/cm³) | V (A^3/atom) |
| --- | --- | --- |
| 1 | 5.88 | 24.81 |
| 2 | 4.02 | 31.37 |
| 3 | 6.10 | 30.69 |